--- i ---
! ZnCdSeO PBE-GGA relaxed; values from VASP
&SYSTEM
  ibrav = 0, nat = 8, ntyp = 4
/
ATOMIC_SPECIES
Zn 65.41 Zn.upf
Cd 112.41 Cd.upf
Se 78.96 Se.upf
O 16.00 O.upf
CELL_PARAMETERS angstrom
3.619 0.000 0.000
-1.809 3.134 0.000
0.000 0.000 12.476
ATOMIC_POSITIONS angstrom
Zn 0.000 2.089 0.000
Zn 1.809 1.045 6.238
Cd 0.000 0.000 2.801
Cd 0.000 0.000 9.039
Se 0.000 2.089 4.431
Se 1.809 1.045 10.670
O 0.000 0.000 0.659
O 0.000 0.000 6.897
! V = 17.69 A^3/atom
! SG = P6_3mc (186)

--- ii ---
! ZnCdSeO PBE-GGA relaxed; values from VASP
&SYSTEM
  ibrav = 0, nat = 16, ntyp = 4
/
ATOMIC_SPECIES
Zn 65.41 Zn.upf
Cd 112.41 Cd.upf
Se 78.96 Se.upf
O 16.00 O.upf
CELL_PARAMETERS angstrom
6.129 0.000 0.000
0.000 7.480 0.000
0.000 0.000 6.110
ATOMIC_POSITIONS angstrom
Zn 0.740 1.158 0.000
Zn 2.324 1.158 3.055
Zn 3.805 6.323 0.000
Zn 5.388 6.323 3.055
Cd 1.461 4.296 5.063
Cd 1.604 4.296 2.009
Cd 4.525 3.184 5.063
Cd 4.668 3.184 2.009
Se 0.064 6.363 0.622
Se 3.000 6.363 3.677
Se 3.128 1.117 0.622
Se 6.065 1.117 3.677
O 0.202 3.006 0.449
O 2.863 3.006 3.504
O 3.266 4.474 0.449
O 5.927 4.474 3.504
! V = 17.51 A^3/atom
! SG = Pca2_1 (29)

--- iii ---
! ZnCdSeO PBE-GGA relaxed; values from VASP
&SYSTEM
  ibrav = 0, nat = 8, ntyp = 4
/
ATOMIC_SPECIES
Zn 65.41 Zn.upf
Cd 112.41 Cd.upf
Se 78.96 Se.upf
O 16.00 O.upf
CELL_PARAMETERS angstrom
3.682 0.000 0.000
0.000 3.682 0.000
0.000 0.000 10.866
ATOMIC_POSITIONS angstrom
Zn 0.921 0.921 1.038
Zn 2.762 2.762 9.828
Cd 0.921 0.921 7.855
Cd 2.762 2.762 3.011
Se 0.921 2.762 5.433
Se 2.762 0.921 5.433
O 0.921 0.921 10.001
O 2.762 2.762 0.865
! V = 18.42 A^3/atom
! SG = P4/nmm (129)

In terms of stability, ii leads; the second structure lies 174 meV/atom higher.

--- i ---
! ZnCdSeO PBE-GGA relaxed; values from VASP
&SYSTEM
  ibrav = 0, nat = 8, ntyp = 4
/
ATOMIC_SPECIES
Zn 65.41 Zn.upf
Cd 112.41 Cd.upf
Se 78.96 Se.upf
O 16.00 O.upf
CELL_PARAMETERS angstrom
1.893 -6.634 0.000
1.893 6.634 0.000
0.000 0.000 5.805
ATOMIC_POSITIONS angstrom
Zn 1.893 5.869 2.902
Zn 1.893 -5.869 0.000
Cd 1.893 2.153 2.407
Cd 1.893 -2.153 5.310
Se 1.893 2.244 5.112
Se 1.893 -2.244 2.210
O 1.893 5.707 4.870
O 1.893 -5.707 1.968
! V = 18.22 A^3/atom
! SG = Cmc2_1 (36)

--- ii ---
! ZnCdSeO PBE-GGA relaxed; values from VASP
&SYSTEM
  ibrav = 0, nat = 8, ntyp = 4
/
ATOMIC_SPECIES
Zn 65.41 Zn.upf
Cd 112.41 Cd.upf
Se 78.96 Se.upf
O 16.00 O.upf
CELL_PARAMETERS angstrom
3.779 0.000 0.000
-1.890 3.273 0.000
0.000 0.000 11.669
ATOMIC_POSITIONS angstrom
Zn 0.000 0.000 0.000
Zn 0.000 0.000 5.834
Cd 0.000 2.182 3.212
Cd 1.890 1.091 9.047
Se 0.000 2.182 6.954
Se 1.890 1.091 1.120
O 0.000 0.000 3.907
O 0.000 0.000 9.741
! V = 18.04 A^3/atom
! SG = P6_3mc (186)

In terms of stability, i leads; the second structure lies 58 meV/atom higher.